1.
# NdDyY2N4 GGA-PBE relaxed
# Total energy (eV/atom): -8.54
# DOS(E_F) (states/eV per atom): 0.028
data_NdDyY2N4
_cell_length_a 6.1012
_cell_length_b 3.5231
_cell_length_c 6.1017
_cell_angle_alpha 90.00
_cell_angle_beta 109.43
_cell_angle_gamma 90.00
_symmetry_space_group_name_H-M 'P 1 2/m 1'
_symmetry_Int_Tables_number 10
loop_
_symmetry_equiv_pos_as_xyz
'x,y,z'
'-x,-y,-z'
'-x,y,-z'
'x,-y,z'
loop_
_atom_site_label
_atom_site_fract_x
_atom_site_fract_y
_atom_site_fract_z
Nd1 0.0000 0.0000 0.0000
Dy1 0.0000 0.5000 0.5000
Y1 0.5000 0.0000 0.5000
Y2 0.5000 0.5000 0.0000
N1 0.2526 0.0000 0.7460
N2 0.2565 0.5000 0.2571

***

2.
# NdDyYN3 GGA-PBE relaxed
# Total energy (eV/atom): -8.19
data_NdDyYN3
_cell_length_a 6.0584
_cell_length_b 3.5155
_cell_length_c 9.1263
_cell_angle_alpha 90.00
_cell_angle_beta 101.66
_cell_angle_gamma 90.00
_symmetry_space_group_name_H-M 'P 1 21/m 1'
_symmetry_Int_Tables_number 11
loop_
_symmetry_equiv_pos_as_xyz
'x,y,z'
'-x,-y,-z'
'-x,y+1/2,-z'
'x,-y+1/2,z'
loop_
_atom_site_label
_atom_site_fract_x
_atom_site_fract_y
_atom_site_fract_z
Nd1 0.1568 0.2500 0.1989
Dy1 0.3494 0.2500 0.8601
Y1 0.2688 0.7500 0.5444
N1 0.0403 0.2500 0.6672
N2 0.2538 0.7500 0.9928
N3 0.4642 0.7500 0.3455

***

3.
# NdDyZrN3 GGA-PBE relaxed
# Total energy (eV/atom): -8.47
# DOS(E_F) (states/eV per atom): 0.270
data_NdDyZrN3
_cell_length_a 6.4424
_cell_length_b 3.3258
_cell_length_c 9.6904
_cell_angle_alpha 90.00
_cell_angle_beta 93.61
_cell_angle_gamma 90.00
_symmetry_space_group_name_H-M 'P 1 21/m 1'
_symmetry_Int_Tables_number 11
loop_
_symmetry_equiv_pos_as_xyz
'x,y,z'
'-x,-y,-z'
'-x,y+1/2,-z'
'x,-y+1/2,z'
loop_
_atom_site_label
_atom_site_fract_x
_atom_site_fract_y
_atom_site_fract_z
Nd1 0.1643 0.2500 0.2179
Dy1 0.2053 0.2500 0.5750
Zr1 0.3453 0.7500 0.8947
N1 0.1394 0.2500 0.8313
N2 0.1565 0.7500 0.4214
N3 0.3976 0.7500 0.1099

***

4.
# NdDy2ZrN4 GGA-PBE relaxed
# Total energy (eV/atom): -8.58
# DOS(E_F) (states/eV per atom): 0.144
data_NdDy2ZrN4
_cell_length_a 5.9673
_cell_length_b 3.4495
_cell_length_c 6.0083
_cell_angle_alpha 90.00
_cell_angle_beta 109.23
_cell_angle_gamma 90.00
_symmetry_space_group_name_H-M 'P 1 2/m 1'
_symmetry_Int_Tables_number 10
loop_
_symmetry_equiv_pos_as_xyz
'x,y,z'
'-x,-y,-z'
'-x,y,-z'
'x,-y,z'
loop_
_atom_site_label
_atom_site_fract_x
_atom_site_fract_y
_atom_site_fract_z
Nd1 0.0000 0.0000 0.0000
Dy1 0.5000 0.0000 0.5000
Dy2 0.5000 0.5000 0.0000
Zr1 0.0000 0.5000 0.5000
N1 0.2411 0.0000 0.7328
N2 0.2491 0.5000 0.2680

***

| no. | E_form (uncorrected) (eV per formula unit) |
| --- | --- |
| 1 | -12.74 |
| 2 | -8.35 |
| 3 | -7.90 |
| 4 | -12.81 |